(1)
ScAs2P, relaxed, DFT GGA-PBE; volume = 20.40 A^3/atom; SG = P4mm, No. 99; DOS(E_F) = 0.225 states/eV per atom; formation enthalpy at 0 K = -0.595 eV per atom; ρ = 4595 kg/m³; final energy = -5.8552 eV/atom
1.0
3.8000 0.0000 0.0000
0.0000 3.8000 0.0000
0.0000 0.0000 5.6500
Sc As P
1 2 1
direct
0.0000 0.0000 0.0000 Sc
0.0000 0.0000 0.4923 As
0.5000 0.5000 0.4011 As
0.5000 0.5000 0.9830 P

***

(2)
Sc2AsP2, relaxed, DFT GGA-PBE; volume = 17.69 A^3/atom; SG = I4/mmm, No. 139; DOS(E_F) = 0.298 states/eV per atom; formation enthalpy at 0 K = -0.996 eV per atom; distance to the lowest polymorph of the same formula = 0.00 eV per formula unit; ρ = 4259 kg/m³; final energy = -6.6226 eV/atom
1.0
3.5259 0.0000 0.0000
0.0000 3.5259 0.0000
0.0000 0.0000 14.2263
Sc As P
4 2 4
direct
0.0000 0.0000 0.1078 Sc
0.0000 0.0000 0.8922 Sc
0.5000 0.5000 0.3922 Sc
0.5000 0.5000 0.6078 Sc
0.0000 0.0000 0.5000 As
0.5000 0.5000 0.0000 As
0.0000 0.5000 0.2500 P
0.0000 0.5000 0.7500 P
0.5000 0.0000 0.2500 P
0.5000 0.0000 0.7500 P

***

(3)
Sc2AsP, relaxed, DFT GGA-PBE; volume = 26.12 A^3/atom; SG = R-3m, No. 166; DOS(E_F) = 1.075 states/eV per atom; formation enthalpy at 0 K = -0.529 eV per atom; ρ = 3112 kg/m³; final energy = -6.2100 eV/atom
1.0
3.9391 0.0000 0.0000
-1.9695 3.4113 0.0000
0.0000 0.0000 23.3260
Sc As P
6 3 3
direct
0.0000 0.0000 0.1048 Sc
0.0000 0.0000 0.8952 Sc
0.3333 0.6667 0.5618 Sc
0.3333 0.6667 0.7715 Sc
0.6667 0.3333 0.2285 Sc
0.6667 0.3333 0.4382 Sc
0.0000 0.0000 0.5000 As
0.3333 0.6667 0.1667 As
0.6667 0.3333 0.8333 As
0.0000 0.0000 0.0000 P
0.3333 0.6667 0.6667 P
0.6667 0.3333 0.3333 P

***

(4)
Sc2AsP, relaxed, DFT GGA-PBE; volume = 18.22 A^3/atom; SG = F-43m, No. 216; DOS(E_F) = 0.424 states/eV per atom; formation enthalpy at 0 K = -0.260 eV per atom; ρ = 4460 kg/m³; final energy = -5.9401 eV/atom
1.0
6.6312 0.0000 0.0000
0.0000 6.6312 0.0000
0.0000 0.0000 6.6312
Sc As P
8 4 4
direct
0.0000 0.0000 0.0000 Sc
0.0000 0.5000 0.5000 Sc
0.2500 0.2500 0.2500 Sc
0.2500 0.7500 0.7500 Sc
0.5000 0.0000 0.5000 Sc
0.5000 0.5000 0.0000 Sc
0.7500 0.2500 0.7500 Sc
0.7500 0.7500 0.2500 Sc
0.0000 0.0000 0.5000 As
0.0000 0.5000 0.0000 As
0.5000 0.0000 0.0000 As
0.5000 0.5000 0.5000 As
0.2500 0.2500 0.7500 P
0.2500 0.7500 0.2500 P
0.7500 0.2500 0.2500 P
0.7500 0.7500 0.7500 P

***

- Which of these has the highest final energy?
  ScAs2P